# HoPuInIr

Crystalline HoPuInIr at its relaxed geometry (PBE, Alexandria).

a = 7.1691 Å, b = 7.1691 Å, c = 7.1691 Å
α = 90.00°, β = 90.00°, γ = 90.00°
With the nearest neighbours (Å) after each atom.
Positions (direct):
Ho: 0.0000 0.0000 0.0000  4 In 3.10, 4 Ir 3.10
Ho: 0.0000 0.5000 0.5000  4 In 3.10, 4 Ir 3.10
Ho: 0.5000 0.0000 0.5000  4 In 3.10, 4 Ir 3.10
Ho: 0.5000 0.5000 0.0000  4 In 3.10, 4 Ir 3.10
Pu: 0.0000 0.0000 0.5000  4 Ir 3.10, 4 In 3.10
Pu: 0.0000 0.5000 0.0000  4 Ir 3.10, 4 In 3.10
Pu: 0.5000 0.0000 0.0000  4 Ir 3.10, 4 In 3.10
Pu: 0.5000 0.5000 0.5000  4 Ir 3.10, 4 In 3.10
In: 0.2500 0.2500 0.7500  4 Pu 3.10, 4 Ho 3.10
In: 0.2500 0.7500 0.2500  4 Pu 3.10, 4 Ho 3.10
In: 0.7500 0.2500 0.2500  4 Pu 3.10, 4 Ho 3.10
In: 0.7500 0.7500 0.7500  4 Pu 3.10, 4 Ho 3.10
Ir: 0.2500 0.2500 0.2500  4 Ho 3.10, 4 Pu 3.10
Ir: 0.2500 0.7500 0.7500  4 Ho 3.10, 4 Pu 3.10
Ir: 0.7500 0.2500 0.7500  4 Ho 3.10, 4 Pu 3.10
Ir: 0.7500 0.7500 0.2500  4 Ho 3.10, 4 Pu 3.10

Summary:
Energy relative to the elements = -127 kJ/mol of formula units
Crystal system = cubic
Space group = F-43m (216)
Magnetic moment = 5.36 μB per formula unit

---

# Pm2Dy2SiIr4

Crystalline Pm2Dy2SiIr4 at its relaxed geometry (PBE, Alexandria).

a = 6.4443 Å, b = 6.4443 Å, c = 6.4443 Å
α = 119.95°, β = 119.95°, γ = 90.09°
With the nearest neighbours (Å) after each atom.
Positions (direct):
Pm: 0.1920 0.1920 0.0000  1 Si 2.80, 4 Ir 2.85
Pm: 0.8080 0.8080 0.0000  1 Si 2.80, 4 Ir 2.85
Dy: 0.2500 0.7500 0.5000  8 Ir 3.22, 4 Pm 3.27
Dy: 0.7500 0.2500 0.5000  8 Ir 3.22, 4 Pm 3.27
Si: 0.5000 0.5000 0.0000  4 Ir 2.31
Ir: 0.2471 0.2471 0.4943  1 Si 2.31
Ir: 0.2471 0.7529 0.0000  1 Si 2.31
Ir: 0.7529 0.2471 0.0000  1 Si 2.31
Ir: 0.7529 0.7529 0.5057  1 Si 2.31

Summary:
Crystal system = tetragonal
Space group = I4/mmm (139)
ΔE_f (raw) = -41.4 kJ per mole of atoms
Magnetic moment = 0.00 μB per formula unit

---

# PmEr3Tl4Se8

Crystalline PmEr3Tl4Se8 at its relaxed geometry (PBE, Alexandria).

a = 9.1560 Å, b = 9.1560 Å, c = 9.1560 Å
α = 54.46°, β = 54.46°, γ = 54.46°
With the nearest neighbours (Å) after each atom.
Positions (direct):
Pm: 0.0000 0.0000 0.0000  6 Se 2.94
Er: 0.0000 0.5000 0.5000  6 Se 2.87-2.88
Er: 0.5000 0.0000 0.5000  6 Se 2.87-2.88
Er: 0.5000 0.5000 0.0000  6 Se 2.87-2.88
Tl: 0.0000 0.0000 0.5000  6 Se 3.35
Tl: 0.0000 0.5000 0.0000  6 Se 3.35
Tl: 0.5000 0.0000 0.0000  6 Se 3.35
Tl: 0.5000 0.5000 0.5000  6 Se 3.29
Se: 0.2388 0.2388 0.7274  2 Er 2.87, 1 Pm 2.94
Se: 0.2388 0.7274 0.2388  2 Er 2.87, 1 Pm 2.94
Se: 0.2662 0.2662 0.2662  3 Er 2.88
Se: 0.2726 0.7612 0.7612  2 Er 2.87, 1 Pm 2.94
Se: 0.7274 0.2388 0.2388  2 Er 2.87, 1 Pm 2.94
Se: 0.7338 0.7338 0.7338  3 Er 2.88
Se: 0.7612 0.2726 0.7612  2 Er 2.87, 1 Pm 2.94
Se: 0.7612 0.7612 0.2726  2 Er 2.87, 1 Pm 2.94

Summary:
Crystal system = trigonal
Space group = R-3m (166)
ΔE_f (raw) = -133.0 kJ per mole of atoms
Magnetic moment = 0.00 μB per formula unit